A plane-wave DFT calculation with PBE+U was carried out for crystalline GaNiAg2F6 at its relaxed geometry.

Computed properties:
Final energy, eV for the cell shown: -78.5
Magnetic moment, μB/f.u.: 1.73
Mass density, g/cm³: 5.75
Space group: Fm-3m

a = 5.7193 Å, b = 5.7196 Å, c = 8.0867 Å
α = 90.00°, β = 90.00°, γ = 90.00°
Closest atoms and distances in Å follow each position.
Element x y z (fractional)
Ga (0.5000, 0.2500, 0.5000)  6 F 1.97
Ga (0.0000, 0.7500, 0.0000)  6 F 1.97
Ni (0.0000, 0.7500, 0.5000)  6 F 2.07
Ni (0.5000, 0.2500, 0.0000)  6 F 2.07
Ag (0.5000, 0.7500, 0.2502)  12 F 2.86
Ag (0.0000, 0.2500, 0.7502)  12 F 2.86
Ag (0.5000, 0.7500, 0.7498)  12 F 2.86
Ag (0.0000, 0.2500, 0.2498)  12 F 2.86
F (0.5000, 0.2500, 0.2564)  1 Ga 1.97, 1 Ni 2.07
F (0.5000, 0.2500, 0.7436)  1 Ga 1.97, 1 Ni 2.07
F (0.0000, 0.7500, 0.2436)  1 Ga 1.97, 1 Ni 2.07
F (0.0000, 0.7500, 0.7564)  1 Ga 1.97, 1 Ni 2.07
F (0.2561, 0.0063, 0.5000)  1 Ga 1.97, 1 Ni 2.07
F (0.7439, 0.0063, 0.5000)  1 Ga 1.97, 1 Ni 2.07
F (0.2561, 0.4936, 0.5000)  1 Ga 1.97, 1 Ni 2.07
F (0.7439, 0.4936, 0.5000)  1 Ga 1.97, 1 Ni 2.07
F (0.7561, 0.5064, 0.0000)  1 Ga 1.97, 1 Ni 2.07
F (0.2439, 0.5064, 0.0000)  1 Ga 1.97, 1 Ni 2.07
F (0.2439, 0.9937, 0.0000)  1 Ga 1.97, 1 Ni 2.07
F (0.7561, 0.9937, 0.0000)  1 Ga 1.97, 1 Ni 2.07